(1)
VASP calculation (PBE) on a relaxed structure of V2Pd2Pt5.

The structure in POSCAR format:
```
V2Pd2Pt5
1.0
4.7473 0.0000 0.0000
0.0000 7.3509 0.0000
-2.3737 -3.6755 7.9414
Pt Pd V
10 4 4
Cartesian
-0.0223 -0.5629 2.6296 Pt
4.3539 1.8552 1.2588 Pt
2.7670 5.5306 1.2588 Pt
2.2471 -1.7496 3.9707 Pt
0.1265 1.9259 3.9707 Pt
-1.9803 -1.8203 6.6826 Pt
-0.3934 1.8552 6.6826 Pt
-0.0223 -0.5629 5.3118 Pt
2.3959 3.1125 5.3118 Pt
2.3959 3.1125 2.6296 Pt
0.3908 4.3793 1.3219 Pd
0.3909 -2.9717 6.6196 Pd
1.9828 0.7038 1.3219 Pd
1.9828 0.7038 6.6195 Pd
-0.1721 4.4380 3.9707 V
0.0000 6.8158 0.0000 V
2.3737 3.1404 0.0000 V
2.5458 0.7625 3.9707 V
```

Its excess energy over the best structure of this formula in the dataset is 0 meV/atom. The formation energy comes out at -193.6 kJ/mol of formula units.

***

(2)
VASP calculation (PBE) on a relaxed structure of Ba3InS4.

The structure in POSCAR format:
```
Ba3InS4
1.0
6.3718 0.0000 0.0000
0.0000 9.0677 0.0000
0.0000 0.0000 10.4825
S Ba In
8 6 2
Cartesian
0.7727 7.4286 5.2413 S
0.3935 2.9310 2.5180 S
3.5716 1.2325 5.2413 S
3.5794 6.1368 7.7593 S
0.3935 2.9310 7.9645 S
3.9586 1.6392 0.0000 S
3.5794 6.1368 2.7232 S
0.3857 7.8352 0.0000 S
0.3698 1.3378 5.2413 Ba
3.5598 2.9947 7.8325 Ba
3.5557 7.7299 0.0000 Ba
3.5598 2.9947 2.6500 Ba
0.3739 6.0731 2.5913 Ba
0.3739 6.0731 7.8912 Ba
0.2202 1.5913 0.0000 In
3.4061 7.4764 5.2413 In
```

The calculation puts the uncorrected formation energy at -1.53 eV per atom.

***

(3)
VASP calculation (PBE) on a relaxed structure of ThCd7Ag5.

The structure in POSCAR format:
```
ThCd7Ag5
1.0
-5.2902 -1.7459 -0.5164
-1.3013 -6.2283 4.0814
-4.5008 3.1353 5.2015
Ag Cd Th
5 7 1
Cartesian
-8.8507 -6.3931 6.1738 Ag
-6.1993 -5.5181 6.4326 Ag
-8.3392 -3.6817 6.9569 Ag
-10.4399 -1.7420 6.7302 Ag
-7.7885 -0.8670 6.9890 Ag
-2.7548 -1.1616 1.8413 Cd
-4.6085 -5.1608 4.0451 Cd
-5.4657 -2.2077 2.8432 Cd
-5.6243 -2.6249 5.8780 Cd
-7.7044 -4.7271 3.9878 Cd
-8.6817 -1.8669 4.3299 Cd
-6.4828 0.3246 4.7013 Cd
-5.7990 -3.0848 9.2232 Th
```

The formation energy comes out at -102.4 kJ/mol of formula units.

***

(4)
VASP calculation (PBE) on a relaxed structure of CaSc2PdO.

The structure in POSCAR format:
```
CaSc2PdO
1.0
4.3258 0.0000 0.0000
0.0000 4.3258 0.0000
0.0000 0.0000 4.8644
Sc Pd O Ca
2 1 1 1
Cartesian
2.1629 0.0000 0.0000 Sc
0.0000 2.1629 0.0000 Sc
2.1629 2.1629 2.4322 Pd
0.0000 0.0000 0.0000 O
0.0000 0.0000 2.4322 Ca
```

The calculation puts the uncorrected formation energy at -1.41 eV per atom.

***

(5)
VASP calculation (PBE) on a relaxed structure of CaPr6Sc2.

The structure in POSCAR format:
```
CaPr6Sc2
1.0
6.1302 0.0000 0.0000
-3.0651 5.3089 0.0000
0.0000 0.0000 11.3318
Sc Pr Ca
2 6 1
Cartesian
0.0000 3.5393 5.6659 Sc
3.0651 1.7696 5.6659 Sc
-0.9943 1.7221 3.1251 Pr
0.9943 1.7221 8.2068 Pr
-2.0708 3.5868 8.2068 Pr
2.0709 3.5868 3.1251 Pr
4.1417 0.0000 8.2068 Pr
1.9885 0.0000 3.1251 Pr
0.0000 0.0000 0.0000 Ca
```

The formation energy comes out at 422.7 kJ/mol of formula units.

***

(6)
VASP calculation (PBE) on a relaxed structure of Li3Cd4Sn.

The structure in POSCAR format:
```
Li3Cd4Sn
1.0
3.1321 0.0004 0.6407
-0.2195 4.4375 1.0711
-0.8161 -0.3750 11.8595
Li Cd Sn
3 4 1
Cartesian
1.4142 0.3785 8.9807 Li
1.4563 2.2190 0.8559 Li
0.6822 3.6844 4.5905 Li
2.0083 1.0741 6.0573 Cd
0.0882 2.9889 7.5140 Cd
-0.4817 2.3490 10.2536 Cd
2.5782 1.7140 3.3177 Cd
0.0000 0.0000 0.0000 Sn
```

Its excess energy over the best structure of this formula in the dataset is 62 meV/atom. The formation energy comes out at -127.5 kJ/mol of formula units.

***

(7)
VASP calculation (PBE) on a relaxed structure of KLaTeI2.

The structure in POSCAR format:
```
KLaTeI2
1.0
-5.3846 -0.6783 3.3454
0.7294 -6.3326 -0.1099
3.2225 0.2802 5.2436
K I La Te
1 2 1 1
Cartesian
-0.7163 -3.3653 4.2396 K
-2.6923 -0.3391 1.6727 I
0.3647 -3.1663 -0.0549 I
0.0000 0.0000 0.0000 La
1.6113 0.1401 2.6218 Te
```

The calculation puts the uncorrected formation energy at -1.34 eV per atom. Its excess energy over the best structure of this formula in the dataset is 0 meV/atom.

***

(8)
VASP calculation (PBE) on a relaxed structure of Sm12Dy5Ho.

The structure in POSCAR format:
```
Sm12Dy5Ho
1.0
15.2521 -0.0053 0.0050
7.6233 7.6310 0.0025
-0.0011 0.0000 5.0913
Sm Dy Ho
12 5 1
Cartesian
12.7261 2.5397 5.0955 Sm
5.0989 5.0886 5.0930 Sm
10.1534 2.5404 2.5490 Sm
5.0940 -0.0010 5.0928 Sm
17.7756 2.5371 0.0059 Sm
5.0955 2.5436 2.5474 Sm
17.7804 7.6267 0.0061 Sm
12.7210 5.0853 2.5499 Sm
12.7299 -0.0042 2.5501 Sm
10.1446 7.6299 2.5488 Sm
17.7789 5.0821 2.5515 Sm
10.1483 5.0860 0.0033 Sm
15.2505 5.0846 0.0050 Dy
7.6251 2.5411 0.0025 Dy
15.2510 2.5386 2.5507 Dy
7.6235 5.0871 2.5482 Dy
7.6256 -0.0026 2.5482 Dy
0.0001 0.0000 0.0000 Ho
```

The formation energy comes out at 29.5 kJ/mol of formula units.

***

(9)
VASP calculation (PBE) on a relaxed structure of PmNd6Er2Th.

The structure in POSCAR format:
```
PmNd6Er2Th
1.0
9.3021 -2.0826 -2.1613
0.8143 8.6399 -1.8855
0.8143 -2.2044 8.5641
Er Nd Th Pm
4 12 2 2
Cartesian
5.4036 4.4285 3.6145 Er
10.0547 2.4065 3.4787 Er
0.8761 1.9463 1.0386 Er
5.5271 -0.0756 0.9028 Er
4.0715 6.9352 1.0933 Nd
6.7247 1.3739 3.7495 Nd
5.9013 5.1699 -1.7253 Nd
8.7226 -0.2058 5.8903 Nd
6.8592 -2.5823 3.4240 Nd
2.0736 4.7374 2.5925 Nd
9.6805 5.2273 -1.6658 Nd
5.0294 -0.8171 6.2426 Nd
1.2503 -0.8744 6.1831 Nd
4.2061 2.9790 0.7677 Nd
8.8571 -0.3845 1.9247 Nd
2.2082 4.5586 -1.3730 Nd
3.1399 7.7785 -2.0975 Th
7.7909 -3.4256 6.6147 Th
7.7909 2.6772 0.7340 Pm
3.1399 1.6756 3.7832 Pm
```

The formation energy comes out at 135.4 kJ/mol of formula units.

***

(10)
VASP calculation (PBE) on a relaxed structure of Na2LiNbS4.

The structure in POSCAR format:
```
Na2LiNbS4
1.0
3.5838 0.0000 0.0000
0.0000 6.5415 0.2594
0.0000 -2.1431 6.5439
Nb S Na Li
1 4 2 1
Cartesian
0.0000 0.0000 0.0000 Nb
1.7919 3.3756 5.3590 S
1.7919 1.0228 1.4444 S
0.0000 4.4975 1.5934 S
0.0000 -0.0991 5.2100 S
0.0000 2.1992 3.4017 Na
1.7919 -1.0716 3.2720 Na
1.7919 3.2708 0.1297 Li
```

The calculation puts the uncorrected formation energy at -1.05 eV per atom.

***

(11)
VASP calculation (PBE) on a relaxed structure of KOsPb2.

The structure in POSCAR format:
```
KOsPb2
1.0
-2.2297 -2.3651 3.9141
-4.8327 -1.5446 -0.3796
-1.0674 -4.9654 -0.3017
K Pb Os
1 2 1
Cartesian
0.0000 0.0000 0.0000 K
-2.0325 -2.2188 0.8082 Pb
-6.0974 -6.6563 2.4245 Pb
-4.0649 -4.4376 1.6164 Os
```

Its excess energy over the best structure of this formula in the dataset is 371 meV/atom. The formation energy comes out at 284.1 kJ/mol of formula units.

***

(12)
VASP calculation (PBE) on a relaxed structure of Pr2ScH.

The structure in POSCAR format:
```
Pr2ScH
1.0
3.4014 0.0000 0.0000
0.0000 3.4014 0.0000
0.0000 0.0000 8.3931
Pr H Sc
2 1 1
Cartesian
0.0000 0.0000 6.7384 Pr
0.0000 0.0000 1.6547 Pr
1.7007 1.7007 0.0000 H
1.7007 1.7007 4.1966 Sc
```

Its excess energy over the best structure of this formula in the dataset is 20 meV/atom.

***

(13)
VASP calculation (PBE) on a relaxed structure of LiPrTm.

The structure in POSCAR format:
```
LiPrTm
1.0
-3.1490 -2.9654 -1.5795
1.8084 0.3286 -4.2221
5.0357 -6.2378 1.6713
Li Pr Tm
2 2 2
Cartesian
-0.6703 -1.3184 -2.9008 Li
0.0000 0.0000 0.0000 Li
2.1247 -6.0649 0.4380 Pr
2.2407 -1.4913 -1.6675 Pr
4.3056 -4.0491 -0.9821 Tm
0.0598 -3.5071 -0.2474 Tm
```

Its excess energy over the best structure of this formula in the dataset is 265 meV/atom. The formation energy comes out at 100.6 kJ/mol of formula units.

***

(14)
VASP calculation (PBE) on a relaxed structure of Si2TcTe.

The structure in POSCAR format:
```
Si2TcTe
1.0
-0.6497 -3.7024 -3.9322
4.0324 -3.6173 -0.4970
-3.8997 2.0476 3.1924
Te Si Tc
1 2 1
Cartesian
-1.4290 -2.6573 -1.4772 Te
1.5837 -3.4269 -2.0737 Si
0.1077 -0.2330 -0.1410 Si
0.9120 -2.6148 0.2404 Tc
```

The calculation puts the uncorrected formation energy at 0.50 eV per atom.

***

(15)
VASP calculation (PBE) on a relaxed structure of Y2ReNiBr.

The structure in POSCAR format:
```
Y2ReNiBr
1.0
5.5050 0.0000 0.0000
0.0000 4.4361 0.0000
0.0000 0.0000 5.5050
Y Re Br Ni
2 1 1 1
Cartesian
0.0000 0.0000 2.7525 Y
2.7525 0.0000 0.0000 Y
0.0000 0.0000 0.0000 Re
2.7525 2.2180 2.7525 Br
0.0000 2.2180 0.0000 Ni
```

The calculation puts the uncorrected formation energy at 0.18 eV per atom.

***

(16)
VASP calculation (PBE) on a relaxed structure of Pr6Bi3Te2Pb.

The structure in POSCAR format:
```
Pr6Bi3Te2Pb
1.0
4.6100 0.0000 0.0000
0.0000 9.2095 0.3397
-2.3050 -2.6433 9.6707
Bi Pr Te Pb
3 6 2 1
Cartesian
0.0000 6.7827 3.5302 Bi
2.3050 4.6047 0.1699 Bi
2.3050 -0.2165 6.4802 Bi
0.0000 6.9384 0.2572 Pr
0.0000 6.6956 6.7944 Pr
2.3050 -0.3723 9.7532 Pr
0.0000 2.0536 6.6082 Pr
2.3050 4.5125 3.4022 Pr
2.3050 -0.1294 3.2160 Pr
0.0000 2.1977 3.3491 Te
2.3050 4.3684 6.6613 Te
2.3050 0.0000 0.0000 Pb
```

The calculation puts the uncorrected formation energy at -1.08 eV per atom.

***

(17)
VASP calculation (PBE) on a relaxed structure of CdPd.

The structure in POSCAR format:
```
CdPd
1.0
4.6635 0.0000 0.0000
-2.3318 4.0387 0.0000
0.0000 0.0000 5.3792
Cd Pd
2 2
Cartesian
2.3318 1.3462 1.3448 Cd
0.0000 2.6925 4.0344 Cd
0.0000 2.6925 1.3448 Pd
2.3318 1.3462 4.0344 Pd
```

The formation energy comes out at 32.2 kJ/mol of formula units.

***

(18)
VASP calculation (PBE) on a relaxed structure of TlHgCl2.

The structure in POSCAR format:
```
TlHgCl2
1.0
-2.3668 0.3970 4.9411
4.9363 -0.3439 2.3756
-1.7887 3.8250 -3.5092
Tl Cl Hg
1 2 1
Cartesian
2.2162 1.7538 1.2624 Tl
-0.4333 3.8527 0.3535 Cl
2.4988 0.0520 7.1125 Cl
-1.4354 2.1243 2.5452 Hg
```

The calculation puts the uncorrected formation energy at -0.53 eV per atom. Its excess energy over the best structure of this formula in the dataset is 100 meV/atom.

***

(19)
VASP calculation (PBE) on a relaxed structure of NdPaPtO6.

The structure in POSCAR format:
```
NdPaPtO6
1.0
-2.5299 4.7840 -0.6808
-2.1380 -3.7686 3.3132
5.4117 4.0075 8.0505
O Pa Pt Nd
12 2 2 2
Cartesian
0.2459 4.5273 2.5292 O
0.9508 2.8180 9.7478 O
-1.8885 3.7281 4.3618 O
2.6322 1.2948 6.3211 O
3.2022 1.0647 9.1072 O
-2.2857 1.2999 2.7828 O
0.4280 3.1313 6.8886 O
3.0294 3.7229 7.9001 O
0.4978 0.4955 8.1537 O
-0.2072 2.2049 0.9351 O
0.3156 1.8915 3.7944 O
-2.4585 3.9582 1.5758 O
1.6594 4.9387 6.6884 Pa
-0.9158 0.0841 3.9945 Pa
1.7901 2.0878 8.0198 Pt
-1.0464 2.9350 2.6632 Pt
0.0000 0.0000 0.0000 Nd
2.7058 2.0037 4.0253 Nd
```

The calculation puts the uncorrected formation energy at -2.50 eV per atom.

***

(20)
VASP calculation (PBE) on a relaxed structure of PmDy2Er5Th.

The structure in POSCAR format:
```
PmDy2Er5Th
1.0
-5.5086 -4.5084 5.0682
6.1830 -0.6521 6.1402
-2.7229 8.9573 -2.5245
Er Pm Th Dy
10 2 2 4
Cartesian
-0.9663 0.2838 3.5950 Er
0.0000 0.0000 0.0000 Er
-2.3916 5.7726 -0.6045 Er
0.3372 -2.5803 5.6042 Er
-3.2065 -2.0246 6.6397 Er
1.1580 5.8214 2.0442 Er
-4.6318 3.4642 2.4401 Er
2.5832 0.3326 6.2437 Er
0.3430 -1.9758 9.2883 Er
-1.0823 3.5130 5.0888 Er
-3.9472 0.9343 4.0739 Pm
1.8986 2.8624 4.6099 Pm
-0.8557 0.6082 7.1440 Th
-1.1929 3.1885 1.5398 Th
-1.0774 -4.3926 8.2611 Dy
1.7518 -0.7680 2.9473 Dy
3.3514 -2.3150 7.3899 Dy
-2.6770 -2.8455 3.8184 Dy
```

The formation energy comes out at 272.1 kJ/mol of formula units.

***

Number 1: total DFT energy (no corrections) -121.666 eV/cell. Number 2: total DFT energy (no corrections) -74.463 eV/cell. Number 3: total DFT energy (no corrections) -29.143 eV/cell. Number 4: total DFT energy (no corrections) -31.864 eV/cell. Number 5: total DFT energy (no corrections) -38.961 eV/cell. Number 6: total DFT energy (no corrections) -14.726 eV/cell. Number 7: total DFT energy (no corrections) -18.971 eV/cell. Number 8: total DFT energy (no corrections) -83.912 eV/cell. Number 9: total DFT energy (no corrections) -96.999 eV/cell. Number 10: total DFT energy (no corrections) -39.524 eV/cell. Number 11: total DFT energy (no corrections) -16.800 eV/cell. Number 12: total DFT energy (no corrections) -18.852 eV/cell. Number 13: total DFT energy (no corrections) -20.244 eV/cell. Number 14: total DFT energy (no corrections) -22.337 eV/cell. Number 15: total DFT energy (no corrections) -31.918 eV/cell. Number 16: total DFT energy (no corrections) -63.278 eV/cell. Number 17: total DFT energy (no corrections) -11.549 eV/cell. Number 18: total DFT energy (no corrections) -8.474 eV/cell. Number 19: total DFT energy (no corrections) -145.062 eV/cell. Number 20: total DFT energy (no corrections) -82.737 eV/cell.